A relaxed structure of HfMg2Hg, computed with GGA-PBE.

a b c (Å): 10.3506 10.3506 10.3506
angles (deg): 17.55 17.55 17.55
Closest atoms and distances in Å follow each position.
Fractional positions:
Hf 0.0000 0.0000 0.0000  6 Hf 3.16, 6 Mg 3.18-3.21
Mg 0.2482 0.2482 0.2482  3 Hg 3.07, 6 Mg 3.16, 3 Hf 3.18
Mg 0.4197 0.4197 0.4197  3 Hg 3.08, 6 Mg 3.16, 3 Hf 3.21
Hg 0.8342 0.8342 0.8342  6 Mg 3.07-3.08, 6 Hg 3.16

Results
Formation energy   0.019 eV per atom
Relative energy among the computed polymorphs   55.7 meV per atom
D(E_F)   3.77 states/eV per cell